VASP calculation (PBE) on a relaxed CrBiSbTe2 crystal.

Cell: 5.9507 5.9507 5.7943 Å, 90.00 90.00 90.00°
Atoms (fractional coordinates):
1 Cr 0.0000 0.0000 0.0000
2 Bi 0.5000 0.5000 0.5000
3 Sb 0.5000 0.5000 0.0000
4 Te 0.0000 0.5000 0.5000
5 Te 0.5000 0.0000 0.5000

As for the symmetry: P4/mmm, No. 123. The energy above the most stable polymorph in this dataset comes out at 0.609 eV/atom. The uncorrected energy comes out at -3.7568 eV per atom. Its formation energy without anion corrections is 5.1 eV/f.u.